The following is a PBEsol calculation of a geometry-optimized RbAsPt2 structure, from the Alexandria database.

a b c (Å): 5.3794 5.3794 8.6684
angles (deg): 108.08 108.08 90.00
Fractional coordinates of all 8 atoms:
Rb  0.2500  0.7500  0.5000
As  0.5000  0.5000  0.0000
As  0.7500  0.2500  0.5000
Rb  0.0000  0.0000  0.0000
Pt  0.6250  0.3750  0.7500
Pt  0.6250  0.8750  0.2500
Pt  0.6250  0.3750  0.2500
Pt  0.1250  0.3750  0.7500

Crystal system = tetragonal
Formation enthalpy at 0 K = -166 meV per atom
Excess energy over the best structure of this formula in the dataset = 0.0000 eV per atom

=====

The following is a PBEsol calculation of a geometry-optimized Zn3Cr12Ga2Se24 structure, from the Alexandria database.

a b c (Å): 7.3467 7.3467 16.4201
angles (deg): 102.93 102.93 90.00
Fractional coordinates of all 41 atoms:
Cr  0.4583  0.7082  0.4164
Se  0.0380  0.8116  0.0759
Zn  0.7500  0.2500  0.5000
Zn  0.1670  0.1670  0.3340
Se  0.3724  0.1424  0.7447
Se  0.1928  0.4561  0.9123
Se  0.0659  0.2958  0.5917
Cr  0.2918  0.5417  0.5836
Se  0.0380  0.2644  0.0759
Cr  0.6301  0.3771  0.7542
Cr  0.3068  0.0425  0.0849
Se  0.7042  0.9341  0.4083
Cr  0.9575  0.6932  0.9151
Ga  0.0813  0.5813  0.1626
Cr  0.2918  0.0419  0.5836
Se  0.2119  0.9418  0.4238
Cr  0.9581  0.7082  0.4164
Ga  0.4187  0.9187  0.8374
Se  0.1884  0.9620  0.9241
Se  0.8783  0.6076  0.7565
Cr  0.7781  0.0425  0.0849
Cr  0.1241  0.3771  0.7542
Cr  0.9575  0.2219  0.9151
Cr  0.6229  0.8759  0.2458
Se  0.8511  0.1217  0.2435
Se  0.8783  0.1489  0.7565
Se  0.2119  0.4820  0.4238
Se  0.3924  0.1217  0.2435
Se  0.5439  0.8072  0.0877
Zn  0.8330  0.8330  0.6660
Se  0.8576  0.6276  0.2553
Se  0.7042  0.4742  0.4083
Cr  0.6229  0.3699  0.2458
Se  0.0582  0.7881  0.5762
Se  0.3724  0.6024  0.7447
Se  0.5439  0.2805  0.0877
Se  0.7195  0.4561  0.9123
Se  0.5258  0.2958  0.5917
Se  0.5180  0.7881  0.5762
Se  0.7356  0.9620  0.9241
Se  0.3976  0.6276  0.2553

Crystal system = tetragonal
Formation energy from raw total energies = -0.511 eV per atom

=====

The following is a PBEsol calculation of a geometry-optimized Na2Sm2B2O7 structure, from the Alexandria database.

a b c (Å): 6.3343 10.3233 10.6766
angles (deg): 117.69 90.00 90.00
Fractional coordinates of all 52 atoms:
Na  0.9432  0.2599  0.0234
Sm  0.9622  0.3192  0.5174
O  0.2450  0.3666  0.1822
B  0.6540  0.1475  0.7093
Na  0.7745  0.4503  0.8889
O  0.2654  0.3652  0.6715
O  0.9596  0.4136  0.3487
O  0.7346  0.6348  0.3285
O  0.6439  0.1590  0.1261
O  0.7654  0.1348  0.3285
O  0.2550  0.8666  0.1822
B  0.1540  0.3525  0.2907
Na  0.7255  0.9503  0.8889
Na  0.0568  0.7401  0.9766
B  0.2537  0.9215  0.8197
O  0.8561  0.6590  0.1261
O  0.6249  0.4034  0.5274
Na  0.2255  0.5497  0.1111
Na  0.5568  0.7599  0.0234
B  0.7537  0.5785  0.1803
Sm  0.9180  0.9111  0.3144
O  0.1698  0.0583  0.9008
B  0.2463  0.4215  0.8197
O  0.4596  0.0864  0.6513
O  0.5404  0.9136  0.3487
O  0.3561  0.8410  0.8739
Sm  0.4622  0.1808  0.4826
B  0.8460  0.6475  0.7093
O  0.2346  0.8652  0.6715
O  0.6698  0.4417  0.0992
O  0.8302  0.9417  0.0992
O  0.1249  0.0966  0.4726
Na  0.2745  0.0497  0.1111
O  0.8751  0.9034  0.5274
O  0.7594  0.2265  0.6512
O  0.1439  0.3410  0.8739
O  0.7406  0.7265  0.6512
Sm  0.5378  0.8192  0.5174
Na  0.4432  0.2401  0.9766
O  0.7450  0.1334  0.8178
Sm  0.0820  0.0889  0.6856
O  0.2594  0.2735  0.3488
Sm  0.0378  0.6808  0.4826
O  0.3302  0.5583  0.9008
B  0.3460  0.8525  0.2907
O  0.2406  0.7735  0.3488
O  0.7550  0.6334  0.8178
O  0.3751  0.5966  0.4726
B  0.7463  0.0785  0.1803
O  0.0404  0.5864  0.6513
Sm  0.4180  0.5889  0.6856
Sm  0.5820  0.4111  0.3144

Crystal system = monoclinic
Formation energy from raw total energies = -2.787 eV per atom

=====

The following is a PBEsol calculation of a geometry-optimized CaSiOs2 structure, from the Alexandria database.

a b c (Å): 3.2068 4.3198 4.3198
angles (deg): 90.00 90.00 90.00
Fractional coordinates of all 4 atoms:
Si  0.5000  0.5000  0.5000
Ca  0.5000  0.0000  0.0000
Os  0.0000  0.5000  0.0000
Os  0.0000  0.0000  0.5000

Crystal system = tetragonal
Formation energy from raw total energies = 0.429 eV per atom

=====

The following is a PBEsol calculation of a geometry-optimized TlAg4As structure, from the Alexandria database.

a b c (Å): 5.4596 5.4596 5.4596
angles (deg): 60.00 60.00 60.00
Fractional coordinates of all 6 atoms:
As  0.7500  0.7500  0.7500
Ag  0.3752  0.3752  0.3752
Tl  0.0000  0.0000  0.0000
Ag  0.3752  0.8744  0.3752
Ag  0.8744  0.3752  0.3752
Ag  0.3752  0.3752  0.8744

Crystal system = cubic
Formation enthalpy at 0 K = 180 meV per atom

=====

The following is a PBEsol calculation of a geometry-optimized BeGeIr2Rh structure, from the Alexandria database.

a b c (Å): 4.0494 4.4572 4.4572
angles (deg): 90.00 90.00 90.00
Fractional coordinates of all 5 atoms:
Be  0.5000  0.0000  0.0000
Ge  0.0000  0.0000  0.0000
Ir  0.0000  0.5000  0.0000
Ir  0.0000  0.0000  0.5000
Rh  0.5000  0.5000  0.5000

Crystal system = tetragonal
Formation enthalpy at 0 K = 1246 meV per atom

=====

The following is a PBEsol calculation of a geometry-optimized HfMgSiAg2 structure, from the Alexandria database.

a b c (Å): 4.6647 4.6647 4.9236
angles (deg): 90.00 90.00 90.00
Fractional coordinates of all 5 atoms:
Mg  0.5000  0.5000  0.5000
Ag  0.5000  0.0000  0.0000
Hf  0.0000  0.0000  0.5000
Ag  0.0000  0.5000  0.0000
Si  0.0000  0.0000  0.0000

Crystal system = tetragonal
Formation energy from raw total energies = 0.322 eV per atom

=====

The following is a PBEsol calculation of a geometry-optimized TcSbIr2 structure, from the Alexandria database.

a b c (Å): 3.9404 3.9404 4.8213
angles (deg): 114.12 114.12 90.00
Fractional coordinates of all 4 atoms:
Tc  0.5000  0.5000  0.0000
Ir  0.7500  0.2500  0.5000
Ir  0.2500  0.7500  0.5000
Sb  0.0000  0.0000  0.0000

Crystal system = tetragonal
Formation energy from raw total energies = 0.127 eV per atom

=====

The following is a PBEsol calculation of a geometry-optimized AgPt2 structure, from the Alexandria database.

a b c (Å): 4.8201 4.8201 8.8563
angles (deg): 100.49 100.49 109.31
Fractional coordinates of all 12 atoms:
Ag  0.0848  0.0848  0.1696
Pt  0.1679  0.6679  0.3358
Pt  0.7462  0.7462  0.4924
Pt  0.6679  0.1679  0.3358
Pt  0.3321  0.8321  0.6642
Ag  0.5000  0.0000  0.0000
Ag  0.9152  0.9152  0.8304
Ag  0.0000  0.5000  0.0000
Pt  0.8321  0.3321  0.6642
Pt  0.5845  0.5845  0.1689
Pt  0.2538  0.2538  0.5076
Pt  0.4155  0.4155  0.8311

Crystal system = orthorhombic
Formation enthalpy at 0 K = 15 meV per atom
Excess energy over the best structure of this formula in the dataset = 0.0180 eV per atom

=====

The following is a PBEsol calculation of a geometry-optimized Cs3CrF7 structure, from the Alexandria database.

a b c (Å): 6.1629 8.3077 8.3077
angles (deg): 90.00 90.00 90.00
Fractional coordinates of all 22 atoms:
F  0.2121  0.8908  0.6092
Cs  0.5000  0.8092  0.3092
Cs  0.0000  0.5000  0.5000
F  0.7879  0.6092  0.1092
Cr  0.0000  0.0000  0.5000
F  0.2121  0.1092  0.3908
Cs  0.5000  0.6908  0.8092
Cr  0.0000  0.5000  0.0000
F  0.0000  0.3442  0.1558
F  0.2121  0.6092  0.1092
F  0.0000  0.8442  0.3442
F  0.7879  0.1092  0.3908
F  0.2121  0.3908  0.8908
F  0.5000  0.0000  0.0000
Cs  0.0000  0.0000  0.0000
F  0.0000  0.1558  0.6558
F  0.7879  0.3908  0.8908
F  0.5000  0.5000  0.5000
Cs  0.5000  0.3092  0.1908
Cs  0.5000  0.1908  0.6908
F  0.0000  0.6558  0.8442
F  0.7879  0.8908  0.6092

Crystal system = tetragonal
Formation energy from raw total energies = -2.754 eV per atom

=====

The following is a PBEsol calculation of a geometry-optimized AlCoS2 structure, from the Alexandria database.

a b c (Å): 3.2692 3.2692 7.2152
angles (deg): 76.91 76.91 60.00
Fractional coordinates of all 4 atoms:
Al  0.0000  0.0000  0.0000
S  0.1121  0.1121  0.6636
Co  0.5000  0.5000  0.5000
S  0.8879  0.8879  0.3364

Crystal system = trigonal
Formation energy from raw total energies = -0.385 eV per atom

=====

The following is a PBEsol calculation of a geometry-optimized BaBe2Cu structure, from the Alexandria database.

a b c (Å): 2.9856 4.8743 4.8743
angles (deg): 90.06 90.00 90.00
Fractional coordinates of all 4 atoms:
Be  0.0000  0.0000  0.5000
Cu  0.5000  0.0000  0.0000
Be  0.0000  0.5000  0.0000
Ba  0.5000  0.5000  0.5000

Crystal system = orthorhombic
Formation enthalpy at 0 K = 1072 meV per atom
Excess energy over the best structure of this formula in the dataset = 0.9507 eV per atom

=====

The following is a PBEsol calculation of a geometry-optimized CdOs2Br structure, from the Alexandria database.

a b c (Å): 2.8294 4.8770 4.8261
angles (deg): 90.00 90.00 90.00
Fractional coordinates of all 4 atoms:
Os  0.5000  0.5000  0.0000
Br  0.5000  0.0000  0.5000
Cd  0.0000  0.5000  0.5000
Os  0.0000  0.0000  0.0000

Crystal system = orthorhombic
Excess energy over the best structure of this formula in the dataset = 0.6192 eV per atom
Formation energy from raw total energies = 1.141 eV per atom

=====

The following is a PBEsol calculation of a geometry-optimized SrZrCd2 structure, from the Alexandria database.

a b c (Å): 3.3134 5.3995 6.3875
angles (deg): 115.00 105.03 90.00
Fractional coordinates of all 4 atoms:
Sr  0.4902  0.4902  0.9804
Cd  0.0095  0.0095  0.0189
Zr  0.2758  0.7758  0.5516
Cd  0.7246  0.2246  0.4492

Crystal system = orthorhombic
Formation enthalpy at 0 K = 72 meV per atom

=====

The following is a PBEsol calculation of a geometry-optimized ZnRh2Au structure, from the Alexandria database.

a b c (Å): 2.7447 2.7447 7.5640
angles (deg): 90.00 90.00 90.00
Fractional coordinates of all 4 atoms:
Zn  0.0000  0.0000  0.4856
Rh  0.0000  0.0000  0.0191
Rh  0.5000  0.5000  0.2510
Au  0.5000  0.5000  0.7443

Crystal system = tetragonal
Formation enthalpy at 0 K = -97 meV per atom

=====

The following is a PBEsol calculation of a geometry-optimized K2TaSe structure, from the Alexandria database.

a b c (Å): 3.3625 6.0151 7.1194
angles (deg): 114.88 103.66 90.00
Fractional coordinates of all 4 atoms:
Ta  0.8199  0.3193  0.6398
K  0.1979  0.6973  0.3957
K  0.0112  0.0116  0.0224
Se  0.4710  0.4718  0.9420

Crystal system = monoclinic
Formation energy from raw total energies = 0.354 eV per atom

=====

The following is a PBEsol calculation of a geometry-optimized LaTl4 structure, from the Alexandria database.

a b c (Å): 4.6383 5.9467 5.9467
angles (deg): 81.25 67.05 67.05
Fractional coordinates of all 5 atoms:
Tl  0.5929  0.2135  0.6007
Tl  0.4071  0.7865  0.3993
Tl  0.1936  0.3993  0.2135
Tl  0.8064  0.6007  0.7865
La  0.0000  0.0000  0.0000

Crystal system = tetragonal
Formation enthalpy at 0 K = -235 meV per atom

=====

The following is a PBEsol calculation of a geometry-optimized SrTl2Cd structure, from the Alexandria database.

a b c (Å): 5.0626 5.0646 5.6168
angles (deg): 116.80 116.79 90.00
Fractional coordinates of all 4 atoms:
Tl  0.0000  0.0000  0.0000
Tl  0.7497  0.2497  0.4995
Sr  0.2502  0.7502  0.5004
Cd  0.5000  0.5000  0.0001

Crystal system = tetragonal
Formation enthalpy at 0 K = -243 meV per atom

=====

The following is a PBEsol calculation of a geometry-optimized ZrNiSe3 structure, from the Alexandria database.

a b c (Å): 4.5834 4.5834 4.5834
angles (deg): 90.00 90.00 90.00
Fractional coordinates of all 5 atoms:
Ni  0.0000  0.0000  0.0000
Zr  0.5000  0.5000  0.5000
Se  0.0000  0.0000  0.5000
Se  0.5000  0.0000  0.0000
Se  0.0000  0.5000  0.0000

Crystal system = cubic
Formation energy from raw total energies = -0.170 eV per atom

=====

The following is a PBEsol calculation of a geometry-optimized LiScRu2 structure, from the Alexandria database.

a b c (Å): 2.7508 3.9623 5.3558
angles (deg): 90.00 90.00 90.00
Fractional coordinates of all 4 atoms:
Li  0.5000  0.5000  0.5000
Sc  0.5000  0.5000  0.0000
Ru  0.0000  0.0000  0.7211
Ru  0.0000  0.0000  0.2789

Crystal system = orthorhombic
Formation enthalpy at 0 K = 122 meV per atom

=====

The following is a PBEsol calculation of a geometry-optimized KTl2In2 structure, from the Alexandria database.

a b c (Å): 3.4616 9.1821 9.1821
angles (deg): 90.00 90.00 90.00
Fractional coordinates of all 10 atoms:
In  0.5000  0.6473  0.8527
Tl  0.0000  0.3549  0.8549
K  0.0000  0.5000  0.5000
K  0.0000  0.0000  0.0000
In  0.5000  0.1473  0.6473
Tl  0.0000  0.1451  0.3549
Tl  0.0000  0.8549  0.6451
In  0.5000  0.8527  0.3527
Tl  0.0000  0.6451  0.1451
In  0.5000  0.3527  0.1473

Crystal system = tetragonal
Formation enthalpy at 0 K = -52 meV per atom
Excess energy over the best structure of this formula in the dataset = 0.0219 eV per atom

=====

The following is a PBEsol calculation of a geometry-optimized GeMo3Au structure, from the Alexandria database.

a b c (Å): 4.5260 4.5260 4.5260
angles (deg): 90.00 90.00 90.00
Fractional coordinates of all 5 atoms:
Mo  0.0000  0.5000  0.0000
Au  0.5000  0.5000  0.5000
Ge  0.0000  0.0000  0.0000
Mo  0.5000  0.0000  0.0000
Mo  0.0000  0.0000  0.5000

Crystal system = cubic
Formation enthalpy at 0 K = 1411 meV per atom

=====

Short version: uncorrected energy = -5.181 -6.041 -7.692 -7.649 -3.317 -6.099 -4.596 -8.741 -5.731 -5.169 -5.534 -2.548 -5.734 -3.259 -5.542 -4.313 -3.409 -2.317 -5.530 -7.108 -2.524 -7.423 eV/atom, in the order given.